First-principles (PBE) data for crystalline CrAg2Te at its relaxed geometry, as listed in the Alexandria database.

```
CrAg2Te
1.0
-4.438 7.595 4.857
-5.862 7.889 2.092
-6.972 5.883 4.214
Ag Cr Te
2 1 1
Direct
0.990 0.990 0.990 Ag
0.510 0.510 0.510 Ag
0.250 0.250 0.250 Cr
0.750 0.750 0.750 Te
```

Values from the calculation:
* M_tot: 4.2 Bohr magnetons per cell
* formation energy from raw total energies: 182.9 kJ/mol of formula units
* E_tot: -4.143 eV/atom


First-principles (PBE) data for crystalline Sc2SnBi at its relaxed geometry, as listed in the Alexandria database.

```
Sc2SnBi
1.0
7.973 0.000 0.000
0.000 7.973 0.000
3.986 3.986 3.304
Sc Bi Sn
4 2 2
Direct
0.621 0.125 0.250 Sc
0.129 0.625 0.250 Sc
0.375 0.379 0.750 Sc
0.875 0.871 0.750 Sc
0.000 0.000 0.000 Bi
0.750 0.250 0.500 Bi
0.500 0.500 0.000 Sn
0.250 0.750 0.500 Sn
```

Values from the calculation:
* energy above the lowest structure with this stoichiometry: 0.1660 eV per atom
* M_tot: 0.7 Bohr magnetons per cell
* E_tot: -5.503 eV/atom
* ΔE_f: -0.366 eV per atom


First-principles (PBE) data for crystalline CrFe2Ag at its relaxed geometry, as listed in the Alexandria database.

```
CrFe2Ag
1.0
2.922 0.000 0.000
0.000 4.333 0.000
0.000 0.000 4.421
Ag Cr Fe
1 1 2
Direct
0.500 0.000 0.500 Ag
0.000 0.500 0.500 Cr
0.000 0.000 0.000 Fe
0.500 0.500 0.000 Fe
```

Values from the calculation:
* energy above the lowest structure with this stoichiometry: 0.2861 eV per atom
* M_tot: 8.1 Bohr magnetons per cell
* E_tot: -6.743 eV/atom
* ΔE_f: 0.607 eV per atom


First-principles (PBE) data for crystalline Rb2Na2Br at its relaxed geometry, as listed in the Alexandria database.

```
Rb2Na2Br
1.0
-0.999 -6.863 -5.063
-2.924 -4.513 6.695
-6.415 2.004 -1.451
Na Br Rb
4 2 4
Direct
0.354 0.854 0.000 Na
0.854 0.646 0.000 Na
0.646 0.146 0.000 Na
0.146 0.354 0.000 Na
0.000 0.000 0.000 Br
0.500 0.500 0.000 Br
0.182 0.682 0.500 Rb
0.682 0.818 0.500 Rb
0.818 0.318 0.500 Rb
0.318 0.182 0.500 Rb
```

Values from the calculation:
* energy above the lowest structure with this stoichiometry: 0.0456 eV per atom
* M_tot: 0.0 Bohr magnetons per cell
* formation energy from raw total energies: -208.0 kJ/mol of formula units
* E_tot: -1.680 eV/atom


First-principles (PBE) data for crystalline BiRhSe2 at its relaxed geometry, as listed in the Alexandria database.

```
BiRhSe2
1.0
-10.079 -4.321 8.308
-7.254 0.194 -3.648
2.735 -5.936 -4.822
Rh Bi Se
8 8 16
Direct
0.147 0.126 0.210 Rh
0.353 0.710 0.626 Rh
0.853 0.874 0.790 Rh
0.647 0.290 0.374 Rh
0.237 0.299 0.529 Rh
0.263 0.029 0.799 Rh
0.763 0.701 0.471 Rh
0.737 0.971 0.201 Rh
0.404 0.392 0.237 Bi
0.096 0.737 0.892 Bi
0.596 0.608 0.763 Bi
0.904 0.263 0.108 Bi
0.363 0.005 0.174 Bi
0.137 0.674 0.505 Bi
0.637 0.995 0.826 Bi
0.863 0.326 0.495 Bi
0.900 0.850 0.518 Se
0.600 0.018 0.350 Se
0.100 0.150 0.482 Se
0.400 0.982 0.650 Se
0.654 0.289 0.082 Se
0.846 0.582 0.789 Se
0.346 0.711 0.918 Se
0.154 0.418 0.211 Se
0.594 0.615 0.412 Se
0.906 0.912 0.115 Se
0.406 0.385 0.588 Se
0.094 0.088 0.885 Se
0.750 0.210 0.710 Se
0.250 0.790 0.290 Se
0.750 0.656 0.156 Se
0.250 0.344 0.844 Se
```

Values from the calculation:
* M_tot: 0.0 Bohr magnetons per cell
* formation energy from raw total energies: -93.2 kJ/mol of formula units
* E_tot: -4.792 eV/atom


First-principles (PBE) data for crystalline PmTm5Ge4 at its relaxed geometry, as listed in the Alexandria database.

```
PmTm5Ge4
1.0
4.924 0.000 0.000
0.000 6.475 -2.332
-2.462 -4.016 9.426
Pm Tm Ge
1 5 4
Direct
0.500 0.000 0.000 Pm
0.165 0.324 0.329 Tm
0.165 0.842 0.331 Tm
0.835 0.158 0.669 Tm
0.500 0.500 0.000 Tm
0.835 0.676 0.671 Tm
0.681 0.110 0.363 Ge
0.012 0.282 0.024 Ge
0.319 0.890 0.637 Ge
0.988 0.718 0.976 Ge
```

Values from the calculation:
* M_tot: 0.0 Bohr magnetons per cell
* E_tot: -5.178 eV/atom
* ΔE_f: -0.620 eV per atom


First-principles (PBE) data for crystalline SrTe2Rh at its relaxed geometry, as listed in the Alexandria database.

```
SrTe2Rh
1.0
6.501 0.002 -0.028
5.224 3.870 -0.028
1.572 0.519 4.828
Sr Te Rh
1 2 1
Direct
0.773 0.773 0.763 Sr
0.966 0.966 0.128 Te
0.198 0.198 0.324 Te
0.563 0.563 0.285 Rh
```

Values from the calculation:
* energy above the lowest structure with this stoichiometry: 0.0885 eV per atom
* M_tot: 0.3 Bohr magnetons per cell
* formation energy from raw total energies: -268.4 kJ/mol of formula units
* E_tot: -4.525 eV/atom


First-principles (PBE) data for crystalline MoIr3Pd at its relaxed geometry, as listed in the Alexandria database.

```
MoIr3Pd
1.0
4.685 0.000 0.000
0.000 4.685 0.000
0.000 0.000 4.685
Mo Ir Pd
1 3 1
Direct
0.000 0.000 0.000 Mo
0.000 0.500 0.000 Ir
0.000 0.000 0.500 Ir
0.500 0.000 0.000 Ir
0.500 0.500 0.500 Pd
```

Values from the calculation:
* energy above the lowest structure with this stoichiometry: 1.5234 eV per atom
* M_tot: 0.0 Bohr magnetons per cell
* E_tot: -6.845 eV/atom
* ΔE_f: 1.676 eV per atom